Below is a relaxed BaLiAg2 crystal, with properties calculated at the PBE level.

Values from the calculation:
The space-group type is Pmmn, No. 59. The calculation puts the energy relative to the lowest polymorph listed for this composition at 10 meV/atom. The calculation puts the size of the total moment at 0.0 μB/f.u. As for the total energy: -21.0 eV per cell.

Cell lengths 4.778, 6.339, 7.356 Å; angles 90.00, 90.00, 90.00 degrees
Element x y z (fractional)
Ag: 0.000 0.626 0.698
Ag: 0.500 0.374 0.198
Ag: 0.000 0.626 0.302
Ag: 0.500 0.374 0.802
Li: 0.500 0.631 0.500
Li: 0.000 0.369 0.000
Ba: 0.500 0.861 0.000
Ba: 0.000 0.139 0.500